Compound: InRu2Rh
Source: Alexandria
Functional: PBE
Structure: relaxed

Cell and atoms, written as POSCAR:
```
InRu2Rh
1.0
2.846 0.000 0.000
0.000 2.846 0.000
0.000 0.000 7.662
In Ru Rh
1 2 1
direct
0.000 0.000 0.000
0.500 0.500 0.267
0.500 0.500 0.733
0.000 0.000 0.500
```

Its space-group type is P4/mmm. For the final energy, the calculation gives -6.954 eV per atom. As for the energy of formation from the pure elements: 80 kJ/mol of formula units.